This record from Alexandria describes a geometry-optimized CrNi2PO6 structure. The functional is PBE+U.

Its total DFT energy (no corrections) is -5.955 eV per atom.

It has space group P4mm (No. 99), with a = 4.958 Å, b = 4.958 Å, c = 4.320 Å, α = 90.00°, β = 90.00° and γ = 90.00°. The inequivalent atoms are Cr at (0.000, 0.000, 0.000), Ni at (0.000, 0.500, 0.407), P at (0.500, 0.500, 0.990), O at (0.000, 0.000, 0.549), O at (0.272, 0.272, 0.099) and O at (0.500, 0.500, 0.629).